No. 1
Computed, not measured: Sm2Ga2Si after structural relaxation at the PBE level of DFT.

```
10
Lattice="4.148 0.000 0.000 2.074 5.529 -0.033 2.074 0.808 9.867" Properties=species:S:1:pos:R:3 pbc="T T T"
Si 4.148 1.524 6.795
Ga 2.074 0.915 1.179
Sm 4.148 4.779 6.305
Sm 2.074 3.965 0.949
Ga 2.074 2.416 5.859
Si 4.148 4.813 3.039
Ga 6.223 5.422 8.655
Sm 6.223 2.372 8.886
Ga 6.223 3.921 3.976
Sm 4.148 1.558 3.530
```

Output
VASP energy = -4.85 eV/atom
Energy above the lowest structure with this stoichiometry = 0.00 eV/f.u.
Formation energy without anion corrections = -0.6712 eV/atom
Crystal system = monoclinic
Total moment = 0.00 Bohr magnetons per cell

---

No. 2
Computed, not measured: Nd2Ho4Th after structural relaxation at the PBE level of DFT.

```
7
Lattice="-2.264 -2.479 -1.307 3.550 -0.635 0.020 -3.227 -6.991 18.845" Properties=species:S:1:pos:R:3 pbc="T T T"
Nd -1.331 -4.707 6.267
Ho 0.384 -5.293 9.372
Ho -3.631 -6.996 14.588
Ho -0.767 -1.671 4.498
Th -1.814 -7.053 11.551
Ho -2.243 -9.383 16.714
Nd -0.833 -2.365 0.963
```

Output
VASP energy = -5.01 eV/atom
Energy above the lowest structure with this stoichiometry = 0.00 eV/f.u.
Crystal system = monoclinic
Total moment = 0.00 Bohr magnetons per cell
Energy of formation = 0.03 eV per atom

---

No. 3
Computed, not measured: NbVBr2 after structural relaxation at the PBE level of DFT.

```
4
Lattice="1.831 0.000 8.849 -0.916 1.586 8.849 -0.916 -1.586 8.849" Properties=species:S:1:pos:R:3 pbc="T T T"
Nb 0.000 0.000 0.000
V 0.000 0.000 13.274
Br 0.000 0.000 2.651
Br 0.000 0.000 23.897
```

Output
VASP energy = -5.40 eV/atom
Energy above the lowest structure with this stoichiometry = 0.00 eV/f.u.
Formation energy without anion corrections = 0.2365 eV/atom
Crystal system = trigonal
Total moment = 0.70 Bohr magnetons per cell

---

No. 4
Computed, not measured: NaTbPr2 after structural relaxation at the PBE level of DFT.

```
4
Lattice="3.594 0.000 0.000 1.797 3.113 0.000 1.797 1.038 12.976" Properties=species:S:1:pos:R:3 pbc="T T T"
Na 0.000 0.000 0.000
Pr 1.797 1.038 9.398
Pr 5.391 3.113 3.579
Tb 3.594 2.075 6.488
```

Output
VASP energy = -3.75 eV/atom
Energy above the lowest structure with this stoichiometry = 0.14 eV/f.u.
Crystal system = trigonal
Total moment = 0.00 Bohr magnetons per cell
Energy of formation = 0.12 eV per atom

---

No. 5
Computed, not measured: TcAu2 after structural relaxation at the PBE level of DFT.

```
6
Lattice="-4.141 -3.601 1.122 -2.911 -4.638 -1.177 2.919 -5.042 3.837" Properties=species:S:1:pos:R:3 pbc="T T T"
Tc -4.719 -10.844 2.370
Au -2.658 -8.778 2.539
Au -7.003 -8.235 -0.030
Au -1.393 -4.540 1.303
Au -3.597 -6.476 0.998
Tc 0.606 -6.999 3.483
```

Output
VASP energy = -5.32 eV/atom
Energy above the lowest structure with this stoichiometry = 0.14 eV/f.u.
Crystal system = monoclinic
Total moment = 0.00 Bohr magnetons per cell
Energy of formation = 0.32 eV per atom

---

No. 6
Computed, not measured: SnIrPd after structural relaxation at the PBE level of DFT.

```
3
Lattice="-0.852 -2.389 1.699 4.219 -1.219 0.401 -1.793 2.739 2.954" Properties=species:S:1:pos:R:3 pbc="T T T"
Pd -0.808 -2.266 1.611
Ir -0.116 0.504 2.754
Sn 1.645 -1.497 2.387
```

Output
VASP energy = -6.08 eV/atom
Crystal system = trigonal
Total moment = 0.00 Bohr magnetons per cell
Energy of formation = -0.06 eV per atom

---

No. 7
Computed, not measured: YSc4Cr after structural relaxation at the PBE level of DFT.

```
6
Lattice="-3.863 -3.482 2.993 -5.211 -1.565 -2.530 -0.904 -5.669 -1.747" Properties=species:S:1:pos:R:3 pbc="T T T"
Sc -5.671 -5.759 1.011
Sc -4.196 -6.849 -1.353
Sc -6.344 -4.802 -1.744
Y -7.483 -8.037 -0.963
Sc -3.745 -4.022 -0.482
Cr 0.000 0.000 0.000
```

Output
VASP energy = -6.45 eV/atom
Crystal system = cubic
Total moment = 5.04 Bohr magnetons per cell
Energy of formation = 0.45 eV per atom

---

No. 8
Computed, not measured: Nd6Ag5Rh after structural relaxation at the PBE level of DFT.

```
12
Lattice="0.420 -3.461 3.916 6.988 -1.586 -2.150 2.943 3.929 6.667" Properties=species:S:1:pos:R:3 pbc="T T T"
Nd 6.572 -2.873 3.777
Nd 5.549 -2.942 0.315
Ag 1.182 0.283 3.634
Rh 0.000 0.000 0.000
Ag 5.727 -0.498 5.966
Ag 3.494 -0.793 -1.075
Nd 3.779 1.755 4.656
Ag 2.181 0.185 6.950
Ag 4.623 -0.619 2.467
Nd 7.368 0.941 3.552
Nd 2.983 -2.058 4.881
Nd 1.858 -2.105 1.451
```

Output
VASP energy = -4.51 eV/atom
Crystal system = orthorhombic
Total moment = 0.00 Bohr magnetons per cell
Energy of formation = -0.33 eV per atom

---

Which value of total moment does entry 7 give? 5.04 Bohr magnetons per cell

---

What is the formula in the sixth record? SnIrPd